# 1
First-principles (PBE) data for NaPuTl after structural relaxation, as listed in the Alexandria database.

Cell and atoms, written as CIF:
```
data_NaPuTl
_space_group_name_H-M_alt 'I 4 m m'
_space_group_IT_number 107
_space_group_name_Hall 'I 4 -2'
_cell_length_a 3.301
_cell_length_b 3.301
_cell_length_c 15.738
_cell_angle_alpha 90.00
_cell_angle_beta 90.00
_cell_angle_gamma 90.00
loop_
_atom_site_label
_atom_site_type_symbol
_atom_site_fract_x
_atom_site_fract_y
_atom_site_fract_z
Na1 Na 0.000 0.000 0.000
Pu1 Pu 0.000 0.000 0.306
Tl1 Tl 0.000 0.000 0.652
```

Energy of formation from the pure elements in eV per atom: 0.157
Energy relative to the lowest polymorph listed for this composition in meV/atom: 0
Crystal system: tetragonal

---

# 2
First-principles (PBE) data for La5PrMg4 after structural relaxation, as listed in the Alexandria database.

Cell and atoms, written as CIF:
```
data_La5PrMg4
_space_group_name_H-M_alt 'P 4/m m m'
_space_group_IT_number 123
_space_group_name_Hall '-P 4 2'
_cell_length_a 3.910
_cell_length_b 3.910
_cell_length_c 21.183
_cell_angle_alpha 90.00
_cell_angle_beta 90.00
_cell_angle_gamma 90.00
loop_
_atom_site_label
_atom_site_type_symbol
_atom_site_fract_x
_atom_site_fract_y
_atom_site_fract_z
La1 La 0.000 0.000 0.000
La2 La 0.000 0.000 0.190
La3 La 0.000 0.000 0.381
Pr1 Pr 0.500 0.500 0.500
Mg1 Mg 0.500 0.500 0.095
Mg2 Mg 0.500 0.500 0.286
```

Energy of formation from the pure elements in eV per atom: -0.084
Crystal system: tetragonal

---

# 3
First-principles (PBE) data for Zn2TeO after structural relaxation, as listed in the Alexandria database.

Cell and atoms, written as CIF:
```
data_Zn2TeO
_space_group_name_H-M_alt 'I -4 2 d'
_space_group_IT_number 122
_space_group_name_Hall 'I -4 2bw'
_cell_length_a 5.386
_cell_length_b 5.386
_cell_length_c 10.623
_cell_angle_alpha 90.00
_cell_angle_beta 90.00
_cell_angle_gamma 90.00
loop_
_atom_site_label
_atom_site_type_symbol
_atom_site_fract_x
_atom_site_fract_y
_atom_site_fract_z
Zn1 Zn 0.151 0.250 0.125
Te1 Te 0.000 0.000 0.500
O1 O 0.000 0.000 0.000
```

Formation energy (no corrections) in eV/atom: -0.783
Energy relative to the lowest polymorph listed for this composition in meV/atom: 0
Crystal system: tetragonal

---

# 4
First-principles (PBE) data for CdSb2TePt after structural relaxation, as listed in the Alexandria database.

Cell and atoms, written as CIF:
```
data_CdSb2TePt
_space_group_name_H-M_alt 'P 4/m m m'
_space_group_IT_number 123
_space_group_name_Hall '-P 4 2'
_cell_length_a 5.224
_cell_length_b 5.224
_cell_length_c 5.592
_cell_angle_alpha 90.00
_cell_angle_beta 90.00
_cell_angle_gamma 90.00
loop_
_atom_site_label
_atom_site_type_symbol
_atom_site_fract_x
_atom_site_fract_y
_atom_site_fract_z
Cd1 Cd 0.000 0.000 0.000
Sb1 Sb 0.000 0.500 0.500
Te1 Te 0.500 0.500 0.000
Pt1 Pt 0.500 0.500 0.500
```

Formation energy (no corrections) in eV/atom: 0.340
Energy relative to the lowest polymorph listed for this composition in meV/atom: 0
Crystal system: tetragonal

---

# 5
First-principles (PBE) data for Pu2BeGa8 after structural relaxation, as listed in the Alexandria database.

Cell and atoms, written as CIF:
```
data_Pu2BeGa8
_space_group_name_H-M_alt 'P 4/m m m'
_space_group_IT_number 123
_space_group_name_Hall '-P 4 2'
_cell_length_a 4.312
_cell_length_b 4.312
_cell_length_c 10.939
_cell_angle_alpha 90.00
_cell_angle_beta 90.00
_cell_angle_gamma 90.00
loop_
_atom_site_label
_atom_site_type_symbol
_atom_site_fract_x
_atom_site_fract_y
_atom_site_fract_z
Pu1 Pu 0.000 0.000 0.195
Be1 Be 0.000 0.000 0.500
Ga1 Ga 0.000 0.500 0.000
Ga2 Ga 0.000 0.500 0.379
Ga3 Ga 0.500 0.500 0.197
```

Energy of formation from the pure elements in eV per atom: -0.264
Crystal system: tetragonal

---

# 6
First-principles (PBE) data for MgCo2Sn2 after structural relaxation, as listed in the Alexandria database.

Cell and atoms, written as CIF:
```
data_MgCo2Sn2
_space_group_name_H-M_alt 'P 4/m b m'
_space_group_IT_number 127
_space_group_name_Hall '-P 4 2ab'
_cell_length_a 7.511
_cell_length_b 7.511
_cell_length_c 2.986
_cell_angle_alpha 90.00
_cell_angle_beta 90.00
_cell_angle_gamma 90.00
loop_
_atom_site_label
_atom_site_type_symbol
_atom_site_fract_x
_atom_site_fract_y
_atom_site_fract_z
Mg1 Mg 0.000 0.000 0.000
Co1 Co 0.148 0.352 0.500
Sn1 Sn 0.147 0.647 0.000
```

Energy of formation from the pure elements in eV per atom: 0.080
Energy relative to the lowest polymorph listed for this composition in meV/atom: 168
Crystal system: tetragonal

---

# 7
First-principles (PBE) data for Y2LuFe after structural relaxation, as listed in the Alexandria database.

Cell and atoms, written as CIF:
```
data_Y2LuFe
_space_group_name_H-M_alt 'P 4/m m m'
_space_group_IT_number 123
_space_group_name_Hall '-P 4 2'
_cell_length_a 3.472
_cell_length_b 3.472
_cell_length_c 8.479
_cell_angle_alpha 90.00
_cell_angle_beta 90.00
_cell_angle_gamma 90.00
loop_
_atom_site_label
_atom_site_type_symbol
_atom_site_fract_x
_atom_site_fract_y
_atom_site_fract_z
Y1 Y 0.000 0.000 0.192
Lu1 Lu 0.500 0.500 0.500
Fe1 Fe 0.500 0.500 0.000
```

Energy of formation from the pure elements in eV per atom: 0.113
Energy relative to the lowest polymorph listed for this composition in meV/atom: 0
Crystal system: tetragonal

---

# 8
First-principles (PBE) data for La6Sb2TeS3 after structural relaxation, as listed in the Alexandria database.

Cell and atoms, written as CIF:
```
data_La6Sb2TeS3
_space_group_name_H-M_alt 'C 1 2/m 1'
_space_group_IT_number 12
_space_group_name_Hall '-C 2y'
_cell_length_a 19.163
_cell_length_b 4.371
_cell_length_c 8.811
_cell_angle_alpha 90.00
_cell_angle_beta 103.83
_cell_angle_gamma 90.00
loop_
_atom_site_label
_atom_site_type_symbol
_atom_site_fract_x
_atom_site_fract_y
_atom_site_fract_z
La1 La 0.006 0.000 0.229
La2 La 0.162 0.500 0.096
La3 La 0.174 0.500 0.571
Sb1 Sb 0.166 0.000 0.832
Te1 Te 0.000 0.500 0.500
S1 S 0.000 0.500 0.000
S2 S 0.166 0.000 0.334
```

Formation energy (no corrections) in eV/atom: -1.753
Crystal system: monoclinic

---

# 9
First-principles (PBE) data for Na3Sr2Li2 after structural relaxation, as listed in the Alexandria database.

Cell and atoms, written as CIF:
```
data_Na3Sr2Li2
_space_group_name_H-M_alt 'C m m m'
_space_group_IT_number 65
_space_group_name_Hall '-C 2 2'
_cell_length_a 4.906
_cell_length_b 24.939
_cell_length_c 4.410
_cell_angle_alpha 90.00
_cell_angle_beta 90.00
_cell_angle_gamma 90.00
loop_
_atom_site_label
_atom_site_type_symbol
_atom_site_fract_x
_atom_site_fract_y
_atom_site_fract_z
Na1 Na 0.000 0.000 0.000
Na2 Na 0.000 0.425 0.500
Sr1 Sr 0.000 0.168 0.000
Li1 Li 0.000 0.284 0.500
```

Energy of formation from the pure elements in eV per atom: 0.033
Energy relative to the lowest polymorph listed for this composition in meV/atom: 10
Crystal system: orthorhombic

---

# 10
First-principles (PBE) data for MgSc2O after structural relaxation, as listed in the Alexandria database.

Cell and atoms, written as CIF:
```
data_MgSc2O
_space_group_name_H-M_alt 'R 3 m'
_space_group_IT_number 160
_space_group_name_Hall 'R 3 -2"'
_cell_length_a 3.2400
_cell_length_b 3.2400
_cell_length_c 23.2445
_cell_angle_alpha 90.00
_cell_angle_beta 90.00
_cell_angle_gamma 120.00
loop_
_atom_site_label
_atom_site_type_symbol
_atom_site_fract_x
_atom_site_fract_y
_atom_site_fract_z
Mg1 Mg 0.0000 0.0000 0.0000
Sc1 Sc 0.0000 0.0000 0.2182
Sc2 Sc 0.0000 0.0000 0.4471
O1 O 0.0000 0.0000 0.8318
```

Formation energy (no corrections) in eV/atom: -1.444
Energy relative to the lowest polymorph listed for this composition in meV/atom: 29
Crystal system: trigonal

---

# 11
First-principles (PBE) data for ZrBRh2Se after structural relaxation, as listed in the Alexandria database.

Cell and atoms, written as CIF:
```
data_ZrBRh2Se
_space_group_name_H-M_alt 'P 4/m m m'
_space_group_IT_number 123
_space_group_name_Hall '-P 4 2'
_cell_length_a 4.484
_cell_length_b 4.484
_cell_length_c 5.027
_cell_angle_alpha 90.00
_cell_angle_beta 90.00
_cell_angle_gamma 90.00
loop_
_atom_site_label
_atom_site_type_symbol
_atom_site_fract_x
_atom_site_fract_y
_atom_site_fract_z
Zr1 Zr 0.000 0.000 0.000
B1 B 0.500 0.500 0.000
Rh1 Rh 0.000 0.500 0.500
Se1 Se 0.000 0.000 0.500
```

Formation energy (no corrections) in eV/atom: 0.984
Crystal system: tetragonal

---

# 12
First-principles (PBE) data for Li2CaY2 after structural relaxation, as listed in the Alexandria database.

Cell and atoms, written as CIF:
```
data_Li2CaY2
_space_group_name_H-M_alt 'P 4/m b m'
_space_group_IT_number 127
_space_group_name_Hall '-P 4 2ab'
_cell_length_a 9.148
_cell_length_b 9.148
_cell_length_c 3.443
_cell_angle_alpha 90.00
_cell_angle_beta 90.00
_cell_angle_gamma 90.00
loop_
_atom_site_label
_atom_site_type_symbol
_atom_site_fract_x
_atom_site_fract_y
_atom_site_fract_z
Li1 Li 0.164 0.336 0.000
Ca1 Ca 0.000 0.000 0.500
Y1 Y 0.130 0.630 0.500
```

Energy of formation from the pure elements in eV per atom: 0.217
Energy relative to the lowest polymorph listed for this composition in meV/atom: 31
Crystal system: tetragonal

---

no.,ρ (g/cm³),VASP energy (eV/atom)
1,9.13,-5.849
2,4.78,-3.664
3,5.92,-3.445
4,7.38,-3.328
5,8.61,-5.410
6,7.48,-4.682
7,6.64,-6.365
8,6.03,-6.197
9,1.59,-1.559
10,3.07,-6.248
11,6.36,-5.698
12,2.67,-3.535